(1)
# LiPr2YSe4 | Alexandria | PBE | relaxed
# - final energy (eV for the cell shown) = -45.95
# - size of the total moment (μB/atom) = 0.000
data_LiPr2YSe4
_symmetry_space_group_name_H-M 'P 1 2/m 1'
_symmetry_Int_Tables_number 10
_cell_length_a 7.177
_cell_length_b 4.156
_cell_length_c 7.212
_cell_angle_alpha 90.00
_cell_angle_beta 109.33
_cell_angle_gamma 90.00
loop_
_symmetry_equiv_pos_as_xyz
'x,y,z'
'-x,-y,-z'
'-x,y,-z'
'x,-y,z'
loop_
_atom_site_label
_atom_site_type_symbol
_atom_site_fract_x
_atom_site_fract_y
_atom_site_fract_z
_atom_site_occupancy
Li1 Li 0.000 0.000 0.000 1
Pr1 Pr 0.000 0.500 0.500 1
Pr2 Pr 0.500 0.000 0.500 1
Y1 Y 0.500 0.500 0.000 1
Se1 Se 0.241 0.500 0.231 1
Se2 Se 0.251 0.000 0.769 1

(2)
# LiPrY2Se4 | Alexandria | PBE | relaxed
# - final energy (eV for the cell shown) = -47.61
# - size of the total moment (μB/atom) = 0.000
data_LiPrY2Se4
_symmetry_space_group_name_H-M 'P 1 2/m 1'
_symmetry_Int_Tables_number 10
_cell_length_a 7.141
_cell_length_b 4.103
_cell_length_c 7.160
_cell_angle_alpha 90.00
_cell_angle_beta 109.18
_cell_angle_gamma 90.00
loop_
_symmetry_equiv_pos_as_xyz
'x,y,z'
'-x,-y,-z'
'-x,y,-z'
'x,-y,z'
loop_
_atom_site_label
_atom_site_type_symbol
_atom_site_fract_x
_atom_site_fract_y
_atom_site_fract_z
_atom_site_occupancy
Li1 Li 0.000 0.000 0.000 1
Pr1 Pr 0.500 0.500 0.000 1
Y1 Y 0.000 0.500 0.500 1
Y2 Y 0.500 0.000 0.500 1
Se1 Se 0.237 0.000 0.744 1
Se2 Se 0.242 0.500 0.252 1

(3)
# Li3Pr2YSe6 | Alexandria | PBE | relaxed
# - final energy (eV for the cell shown) = -125.35
# - size of the total moment (μB/atom) = 0.000
data_Li3Pr2YSe6
_symmetry_space_group_name_H-M 'C 1 2/m 1'
_symmetry_Int_Tables_number 12
_cell_length_a 7.250
_cell_length_b 12.563
_cell_length_c 6.960
_cell_angle_alpha 90.00
_cell_angle_beta 110.23
_cell_angle_gamma 90.00
loop_
_symmetry_equiv_pos_as_xyz
'x,y,z'
'-x,-y,-z'
'-x,y,-z'
'x,-y,z'
'x+1/2,y+1/2,z'
'-x+1/2,-y+1/2,-z'
'-x+1/2,y+1/2,-z'
'x+1/2,-y+1/2,z'
loop_
_atom_site_label
_atom_site_type_symbol
_atom_site_fract_x
_atom_site_fract_y
_atom_site_fract_z
_atom_site_occupancy
Li1 Li 0.000 0.000 0.000 1
Li2 Li 0.000 0.338 0.000 1
Pr1 Pr 0.000 0.167 0.500 1
Y1 Y 0.000 0.500 0.500 1
Se1 Se 0.239 0.500 0.243 1
Se2 Se 0.248 0.338 0.759 1

(4)
# Li2PrY3Se6 | Alexandria | PBE | relaxed
# - final energy (eV for the cell shown) = -139.49
# - size of the total moment (μB/atom) = 0.000
data_Li2PrY3Se6
_symmetry_space_group_name_H-M 'C 1 2/m 1'
_symmetry_Int_Tables_number 12
_cell_length_a 7.068
_cell_length_b 12.239
_cell_length_c 7.124
_cell_angle_alpha 90.00
_cell_angle_beta 109.45
_cell_angle_gamma 90.00
loop_
_symmetry_equiv_pos_as_xyz
'x,y,z'
'-x,-y,-z'
'-x,y,-z'
'x,-y,z'
'x+1/2,y+1/2,z'
'-x+1/2,-y+1/2,-z'
'-x+1/2,y+1/2,-z'
'x+1/2,-y+1/2,z'
loop_
_atom_site_label
_atom_site_type_symbol
_atom_site_fract_x
_atom_site_fract_y
_atom_site_fract_z
_atom_site_occupancy
Li1 Li 0.000 0.169 0.000 1
Pr1 Pr 0.000 0.500 0.000 1
Y1 Y 0.000 0.000 0.500 1
Y2 Y 0.000 0.336 0.500 1
Se1 Se 0.238 0.000 0.248 1
Se2 Se 0.245 0.172 0.750 1